1.
Crystalline Eu2SbSe at its relaxed geometry. Source: the Alexandria database, functional PBE.

Cell: 3.739 3.739 8.056 Å, 90.00 90.00 90.00°
Fractional coordinates of all 4 atoms:
Eu  0.000  0.000  0.229
Eu  0.000  0.000  0.771
Sb  0.500  0.500  0.500
Se  0.500  0.500  0.000

Computed properties:
Its symmetry is P4/mmm (123). The calculation puts the density of states at the Fermi level at 12.5 states/eV/cell. The formation energy from raw total energies comes out at -507 kJ/mol of formula units. The value obtained for the relative energy among the computed polymorphs is 135 meV/atom.

2.
Crystalline Eu2SbSe at its relaxed geometry. Source: the Alexandria database, functional PBE.

Cell: 7.960 7.960 7.960 Å, 31.93 31.93 31.93°
Fractional coordinates of all 4 atoms:
Eu  0.245  0.245  0.245
Eu  0.755  0.755  0.755
Sb  0.000  0.000  0.000
Se  0.500  0.500  0.500

Computed properties:
Its symmetry is R-3m (166). The calculation puts the density of states at the Fermi level at 20.6 states/eV/cell. The formation energy from raw total energies comes out at -559 kJ/mol of formula units. The value obtained for the relative energy among the computed polymorphs is 0 meV/atom.